a:
DFT (PBE-GGA) results for a geometry-optimized CuRe2Ru structure.

total moment: 0.0 μB per formula unit
density of states at the Fermi level: 8.77 states/eV per cell

Lattice parameters (Å, degrees): 2.8287 4.5048 9.0762 90.00 90.00 90.00
Space group Cmmm (No. 65)
Inequivalent atoms, fractional coordinates:
Cu: 0.0000 0.0000 0.0000 [2 per cell]
Re: 0.0000 0.5000 0.2502 [4 per cell]
Ru: 0.0000 0.0000 0.5000 [2 per cell]



b:
DFT (PBE-GGA) results for a geometry-optimized CuRe2Ru structure.

total moment: 0.0 μB per formula unit
density of states at the Fermi level: 7.91 states/eV per cell

Lattice parameters (Å, degrees): 3.8637 3.8637 7.5537 90.00 90.00 90.00
Space group I-4m2 (No. 119)
Inequivalent atoms, fractional coordinates:
Cu: 0.0000 0.0000 0.0000 [2 per cell]
Re: 0.0000 0.0000 0.5000 [2 per cell]
Re: 0.0000 0.5000 0.7500 [2 per cell]
Ru: 0.0000 0.5000 0.2500 [2 per cell]



c:
DFT (PBE-GGA) results for a geometry-optimized CuRe2Ru structure.

total moment: 0.0 μB per formula unit
density of states at the Fermi level: 6.76 states/eV per cell

Lattice parameters (Å, degrees): 9.1337 2.7355 4.6284 90.00 100.42 90.00
Space group C2/m (No. 12)
Inequivalent atoms, fractional coordinates:
Cu: 0.0000 0.0000 0.0000 [2 per cell]
Re: 0.2443 0.0000 0.7442 [4 per cell]
Ru: 0.0000 0.5000 0.5000 [2 per cell]



d:
DFT (PBE-GGA) results for a geometry-optimized CuRe2Ru structure.

total moment: 0.0 μB per formula unit
density of states at the Fermi level: 6.19 states/eV per cell

Lattice parameters (Å, degrees): 9.0349 2.7047 4.7006 90.00 99.36 90.00
Space group Cm (No. 8)
Inequivalent atoms, fractional coordinates:
Cu: 0.0000 0.0000 0.0000 [2 per cell]
Re: 0.2458 0.0000 0.7496 [2 per cell]
Re: 0.4966 0.0000 0.4964 [2 per cell]
Ru: 0.2584 0.5000 0.2514 [2 per cell]



It comes down to d, which is 22 meV/atom more stable than the next structure.



a:
DFT (PBE-GGA) results for a geometry-optimized CuRe2Ru structure.

total moment: 0.0 μB per formula unit
density of states at the Fermi level: 2.33 states/eV per cell

Lattice parameters (Å, degrees): 2.7153 2.7153 7.6117 90.00 90.00 90.00
Space group P4/mmm (No. 123)
Inequivalent atoms, fractional coordinates:
Cu: 0.0000 0.0000 0.0000 [1 per cell]
Re: 0.5000 0.5000 0.2465 [2 per cell]
Ru: 0.0000 0.0000 0.5000 [1 per cell]



b:
DFT (PBE-GGA) results for a geometry-optimized CuRe2Ru structure.

total moment: 0.0 μB per formula unit
density of states at the Fermi level: 3.18 states/eV per cell

Lattice parameters (Å, degrees): 2.7111 3.9111 5.2905 90.00 90.45 90.00
Space group P2/m (No. 10)
Inequivalent atoms, fractional coordinates:
Cu: 0.0000 0.0000 0.0000 [1 per cell]
Re: 0.4944 0.5000 0.2424 [2 per cell]
Ru: 0.0000 0.0000 0.5000 [1 per cell]



It comes down to b, which is 23 meV/atom more stable than the next structure.



a:
DFT (PBE-GGA) results for a geometry-optimized CuRe2Ru structure.

total moment: 0.2 μB per formula unit
density of states at the Fermi level: 7.71 states/eV per cell

Lattice parameters (Å, degrees): 2.8546 4.5061 9.0213 90.00 90.00 90.00
Space group Cmm2 (No. 35)
Inequivalent atoms, fractional coordinates:
Cu: 0.0000 0.0000 0.0000 [2 per cell]
Re: 0.0000 0.0000 0.4975 [2 per cell]
Re: 0.0000 0.5000 0.7506 [2 per cell]
Ru: 0.0000 0.5000 0.2484 [2 per cell]



b:
DFT (PBE-GGA) results for a geometry-optimized CuRe2Ru structure.

total moment: 0.0 μB per formula unit
density of states at the Fermi level: 4.05 states/eV per cell

Lattice parameters (Å, degrees): 2.7075 3.8907 5.3448 90.00 90.00 90.00
Space group Pmm2 (No. 25)
Inequivalent atoms, fractional coordinates:
Cu: 0.0000 0.0000 0.0000 [1 per cell]
Re: 0.0000 0.0000 0.5038 [1 per cell]
Re: 0.5000 0.5000 0.2413 [1 per cell]
Ru: 0.5000 0.5000 0.7600 [1 per cell]



c:
DFT (PBE-GGA) results for a geometry-optimized CuRe2Ru structure.

total moment: 0.0 μB per formula unit
density of states at the Fermi level: 19.90 states/eV per cell

Lattice parameters (Å, degrees): 2.7283 2.7283 26.5378 90.00 90.00 120.00
Space group R-3m (No. 166, hexagonal axes)
Inequivalent atoms, fractional coordinates:
Cu: 0.0000 0.0000 0.0000 [3 per cell]
Re: 0.0000 0.0000 0.2498 [6 per cell]
Ru: 0.0000 0.0000 0.5000 [3 per cell]



It comes down to b, which is 23 meV/atom more stable than the next structure.



a:
DFT (PBE-GGA) results for a geometry-optimized Cu3ReS structure.

total moment: 0.0 μB per formula unit
density of states at the Fermi level: 5.69 states/eV per cell

Lattice parameters (Å, degrees): 4.2096 4.2096 4.2096 90.00 90.00 90.00
Space group Pm-3m (No. 221)
Inequivalent atoms, fractional coordinates:
Cu: 0.0000 0.0000 0.5000 [3 per cell]
Re: 0.5000 0.5000 0.5000 [1 per cell]
S: 0.0000 0.0000 0.0000 [1 per cell]



b:
DFT (PBE-GGA) results for a geometry-optimized Cu3ReS structure.

total moment: 0.0 μB per formula unit
density of states at the Fermi level: 5.00 states/eV per cell

Lattice parameters (Å, degrees): 4.6643 4.6643 4.6643 90.00 90.00 90.00
Space group Pm-3m (No. 221)
Inequivalent atoms, fractional coordinates:
Cu: 0.0000 0.0000 0.5000 [3 per cell]
Re: 0.0000 0.0000 0.0000 [1 per cell]
S: 0.5000 0.5000 0.5000 [1 per cell]



It comes down to a, which is 590 meV/atom more stable than the next structure.



a:
DFT (PBE-GGA) results for a geometry-optimized CuReSb structure.

total moment: 0.4 μB per formula unit
density of states at the Fermi level: 19.02 states/eV per cell

Lattice parameters (Å, degrees): 6.1449 6.1449 6.1449 90.00 90.00 90.00
Space group F-43m (No. 216)
Inequivalent atoms, fractional coordinates:
Cu: 0.0000 0.0000 0.0000 [4 per cell]
Re: 0.2500 0.2500 0.2500 [4 per cell]
Sb: 0.0000 0.0000 0.5000 [4 per cell]



b:
DFT (PBE-GGA) results for a geometry-optimized CuReSb structure.

total moment: 0.0 μB per formula unit
density of states at the Fermi level: 8.31 states/eV per cell

Lattice parameters (Å, degrees): 3.3385 3.3385 8.6965 90.00 90.00 90.00
Space group I4mm (No. 107)
Inequivalent atoms, fractional coordinates:
Cu: 0.0000 0.0000 0.0000 [2 per cell]
Re: 0.0000 0.0000 0.3400 [2 per cell]
Sb: 0.0000 0.0000 0.6701 [2 per cell]



It comes down to b, which is 157 meV/atom more stable than the next structure.



a:
DFT (PBE-GGA) results for a geometry-optimized CuRe3Se structure.

total moment: 0.0 μB per formula unit
density of states at the Fermi level: 3.77 states/eV per cell

Lattice parameters (Å, degrees): 4.5194 4.5194 4.5194 90.00 90.00 90.00
Space group Pm-3m (No. 221)
Inequivalent atoms, fractional coordinates:
Cu: 0.0000 0.0000 0.0000 [1 per cell]
Re: 0.0000 0.5000 0.5000 [3 per cell]
Se: 0.5000 0.5000 0.5000 [1 per cell]



b:
DFT (PBE-GGA) results for a geometry-optimized CuRe3Se structure.

total moment: 0.0 μB per formula unit
density of states at the Fermi level: 7.05 states/eV per cell

Lattice parameters (Å, degrees): 4.4993 4.4993 4.4993 90.00 90.00 90.00
Space group Pm-3m (No. 221)
Inequivalent atoms, fractional coordinates:
Cu: 0.0000 0.0000 0.0000 [1 per cell]
Re: 0.0000 0.0000 0.5000 [3 per cell]
Se: 0.5000 0.5000 0.5000 [1 per cell]



It comes down to a, which is 358 meV/atom more stable than the next structure.